BeHg2 | PBE-GGA | relaxed

Output
Energy relative to the lowest polymorph listed for this composition (meV/atom): 90

a = 3.2709 Å, b = 3.2709 Å, c = 6.1524 Å
α = 90.00°, β = 90.00°, γ = 120.00°
Closest atoms and distances in Å follow each position.
Space group P-3m1 (No. 164)
Inequivalent atoms, fractional coordinates:
1 Be 0.0000 0.0000 0.0000 [1 per cell]  6 Hg 2.59
2 Hg 0.3333 0.6667 0.7122 [2 per cell]  3 Be 2.59